1.
# PBE-GGA TcHgSb2I, relaxed
# Calculated volume ... 181.4 Å³ per cell
# N(E_F) ... 0.693 states/eV per atom
# Calculated density ... 6.12 Mg/m³
# Polymorph energy (0 for the lowest one) ... 1064 meV/atom
# Crystal system ... tetragonal
# Energy relative to the elements, uncorrected ... 1.44 eV per atom
data_TcHgSb2I
_space_group_name_H-M_alt 'P 4/m m m'
_space_group_IT_number 123
_space_group_name_Hall '-P 4 2'
_cell_length_a 5.5006
_cell_length_b 5.5006
_cell_length_c 5.9959
_cell_angle_alpha 90.00
_cell_angle_beta 90.00
_cell_angle_gamma 90.00
loop_
_atom_site_label
_atom_site_type_symbol
_atom_site_fract_x
_atom_site_fract_y
_atom_site_fract_z
_atom_site_occupancy
Tc1 Tc 0.0000 0.0000 0.0000 1
Hg1 Hg 0.5000 0.5000 0.5000 1
Sb1 Sb 0.0000 0.5000 0.5000 1
I1 I 0.5000 0.5000 0.0000 1

2.
# PBE-GGA HgSbTe2I, relaxed
# Calculated volume ... 182.1 Å³ per cell
# N(E_F) ... 1.435 states/eV per atom
# Calculated density ... 6.42 Mg/m³
# Polymorph energy (0 for the lowest one) ... 335 meV/atom
# Crystal system ... tetragonal
# Energy relative to the elements, uncorrected ... 0.63 eV per atom
data_HgSbTe2I
_space_group_name_H-M_alt 'P 4/m m m'
_space_group_IT_number 123
_space_group_name_Hall '-P 4 2'
_cell_length_a 5.5981
_cell_length_b 5.5981
_cell_length_c 5.8117
_cell_angle_alpha 90.00
_cell_angle_beta 90.00
_cell_angle_gamma 90.00
loop_
_atom_site_label
_atom_site_type_symbol
_atom_site_fract_x
_atom_site_fract_y
_atom_site_fract_z
_atom_site_occupancy
Hg1 Hg 0.0000 0.0000 0.0000 1
Sb1 Sb 0.0000 0.0000 0.5000 1
Te1 Te 0.0000 0.5000 0.0000 1
I1 I 0.5000 0.5000 0.5000 1

3.
# PBE-GGA HgSb2TeI, relaxed
# Calculated volume ... 181.1 Å³ per cell
# N(E_F) ... 1.268 states/eV per atom
# Calculated density ... 6.40 Mg/m³
# Polymorph energy (0 for the lowest one) ... 90 meV/atom
# Crystal system ... tetragonal
# Energy relative to the elements, uncorrected ... 0.68 eV per atom
data_HgSb2TeI
_space_group_name_H-M_alt 'P 4/m m m'
_space_group_IT_number 123
_space_group_name_Hall '-P 4 2'
_cell_length_a 5.7119
_cell_length_b 5.7119
_cell_length_c 5.5521
_cell_angle_alpha 90.00
_cell_angle_beta 90.00
_cell_angle_gamma 90.00
loop_
_atom_site_label
_atom_site_type_symbol
_atom_site_fract_x
_atom_site_fract_y
_atom_site_fract_z
_atom_site_occupancy
Hg1 Hg 0.0000 0.0000 0.0000 1
Sb1 Sb 0.0000 0.5000 0.0000 1
Te1 Te 0.0000 0.0000 0.5000 1
I1 I 0.5000 0.5000 0.5000 1

4.
# PBE-GGA HgSbTe2I, relaxed
# Calculated volume ... 202.7 Å³ per cell
# N(E_F) ... 1.202 states/eV per atom
# Calculated density ... 5.77 Mg/m³
# Polymorph energy (0 for the lowest one) ... 0 meV/atom
# Crystal system ... tetragonal
# Energy relative to the elements, uncorrected ... 0.30 eV per atom
data_HgSbTe2I
_space_group_name_H-M_alt 'P 4/m m m'
_space_group_IT_number 123
_space_group_name_Hall '-P 4 2'
_cell_length_a 5.7892
_cell_length_b 5.7892
_cell_length_c 6.0468
_cell_angle_alpha 90.00
_cell_angle_beta 90.00
_cell_angle_gamma 90.00
loop_
_atom_site_label
_atom_site_type_symbol
_atom_site_fract_x
_atom_site_fract_y
_atom_site_fract_z
_atom_site_occupancy
Hg1 Hg 0.0000 0.0000 0.0000 1
Sb1 Sb 0.5000 0.5000 0.5000 1
Te1 Te 0.0000 0.5000 0.5000 1
I1 I 0.5000 0.5000 0.0000 1

5.
# PBE-GGA HgSb2TeI, relaxed
# Calculated volume ... 217.2 Å³ per cell
# N(E_F) ... 0.757 states/eV per atom
# Calculated density ... 5.34 Mg/m³
# Polymorph energy (0 for the lowest one) ... 0 meV/atom
# Crystal system ... tetragonal
# Energy relative to the elements, uncorrected ... 0.59 eV per atom
data_HgSb2TeI
_space_group_name_H-M_alt 'P 4/m m m'
_space_group_IT_number 123
_space_group_name_Hall '-P 4 2'
_cell_length_a 5.9027
_cell_length_b 5.9027
_cell_length_c 6.2343
_cell_angle_alpha 90.00
_cell_angle_beta 90.00
_cell_angle_gamma 90.00
loop_
_atom_site_label
_atom_site_type_symbol
_atom_site_fract_x
_atom_site_fract_y
_atom_site_fract_z
_atom_site_occupancy
Hg1 Hg 0.0000 0.0000 0.0000 1
Sb1 Sb 0.0000 0.5000 0.5000 1
Te1 Te 0.5000 0.5000 0.5000 1
I1 I 0.5000 0.5000 0.0000 1

6.
# PBE-GGA Hg6SbTeI2, relaxed
# Calculated volume ... 736.9 Å³ per cell
# N(E_F) ... 0.171 states/eV per atom
# Calculated density ... 7.69 Mg/m³
# Crystal system ... monoclinic
# Energy relative to the elements, uncorrected ... -0.08 eV per atom
data_Hg6SbTeI2
_space_group_name_H-M_alt 'P 1 21/c 1'
_space_group_IT_number 14
_cell_length_a 7.9123
_cell_length_b 8.0282
_cell_length_c 13.9583
_cell_angle_alpha 90.00
_cell_angle_beta 123.79
_cell_angle_gamma 90.00
loop_
_space_group_symop_operation_xyz
'x,y,z'
'-x,-y,-z'
'-x,y+1/2,-z+1/2'
'x,-y+1/2,z+1/2'
loop_
_atom_site_label
_atom_site_type_symbol
_atom_site_fract_x
_atom_site_fract_y
_atom_site_fract_z
_atom_site_occupancy
Hg1 Hg 0.1528 0.2105 0.4485 1
Hg2 Hg 0.2363 0.7086 0.4476 1
Hg3 Hg 0.3309 0.0164 0.2444 1
Sb1 Sb 0.0000 0.0000 0.0000 1
Te1 Te 0.5000 0.0000 0.5000 1
I1 I 0.2150 0.0182 0.7463 1